A geometry-optimized Ti2BeGa structure, computed with PBE.

Lattice parameters (Å, degrees): 3.9361 3.9361 3.6980 90.00 90.00 90.00
Last column: nearest neighbours and their distance in Å.
Space group P4/mmm (No. 123)
Symmetry-distinct sites (fractional):
1 Ti 0.0000 0.5000 0.0000 (multiplicity 2)  4 Ga 2.70, 4 Be 2.70, 4 Ti 2.78
2 Be 0.0000 0.0000 0.5000 (multiplicity 1)  8 Ti 2.70, 4 Ga 2.78
3 Ga 0.5000 0.5000 0.5000 (multiplicity 1)  8 Ti 2.70, 4 Be 2.78

Properties
total energy = -5.91 eV/atom
calculated volume = 57 Å³/cell
total magnetic moment = 0.000 μB/cell
energy relative to the elements = -271 meV/atom